The following is a DFT calculation (PBE+U) of CoAsPdO after structural relaxation.

Results
crystal system	tetragonal
V	98	Å³/cell
energy	-19.06	eV per formula unit
space-group type	P4/nmm
distance to the lowest polymorph of the same formula	620	meV per atom
M_tot	3.9	μB/cell

a = 3.838 Å, b = 3.838 Å, c = 6.646 Å
α = 90.00°, β = 90.00°, γ = 90.07°
Last column: magnetic moment on the atom in μB.
Fractional coordinates of all 8 atoms:
1 As 0.750 0.250 0.799  -0.02
2 As 0.250 0.750 0.201  -0.02
3 Co 0.750 0.750 0.000  1.04
4 Co 0.250 0.250 0.000  1.04
5 Pd 0.250 0.750 0.693  0.44
6 Pd 0.750 0.250 0.307  0.44
7 O 0.250 0.250 0.500  0.50
8 O 0.750 0.750 0.500  0.50